! PBE Li3Er2Pd8, relaxed; values from VASP
! spin magnetization	0.00	μB/atom
! space-group type	No. 166
! formation energy	-397	meV/atom
! V	230	Å³/cell
&SYSTEM
  ibrav = 0, nat = 13, ntyp = 3
/
ATOMIC_SPECIES
Li 6.94 Li.upf
Er 167.26 Er.upf
Pd 106.42 Pd.upf
CELL_PARAMETERS angstrom
-2.072 4.660 -1.660
-2.937 2.977 3.358
5.953 6.927 3.350
ATOMIC_POSITIONS angstrom
Li 0.000 0.000 0.000
Li -0.638 10.149 3.294
Li 1.582 4.415 1.753
Er -2.429 5.614 1.464
Er 3.373 8.949 3.583
Pd 1.318 11.274 4.009
Pd -0.375 3.290 1.039
Pd -0.411 5.596 3.246
Pd 0.023 6.441 0.725
Pd -1.452 7.937 2.412
Pd 0.920 8.122 4.323
Pd 1.355 8.968 1.802
Pd 2.396 6.627 2.636